No. 1
## AlIr2W (PBEsol)

Data for AlIr2W after structural relaxation.

abc: 4.579 4.579 2.790
angles: 90.00 90.00 90.00
Space group P4/mmm (No. 123)
One atom of each set of equivalent atoms:
Al (0.000, 0.000, 0.000)
Ir (0.000, 0.500, 0.500)
W (0.500, 0.500, 0.000)



No. 2
## AlIr2W (PBEsol)

Data for AlIr2W after structural relaxation.

abc: 8.875 2.752 4.792
angles: 90.00 99.70 90.00
Space group C2/m (No. 12)
One atom of each set of equivalent atoms:
Al (0.000, 0.000, 0.000)
Ir (0.248, 0.500, 0.250)
W (0.000, 0.500, 0.500)



No. 3
## AlZn2IrW (PBEsol)

Data for AlZn2IrW after structural relaxation.

abc: 4.292 4.292 4.625
angles: 90.00 90.00 90.00
Space group P4/mmm (No. 123)
One atom of each set of equivalent atoms:
Al (0.000, 0.000, 0.000)
Zn (0.000, 0.500, 0.000)
Ir (0.500, 0.500, 0.500)
W (0.000, 0.000, 0.500)



No. 4
## Y2Al9Ir3 (PBEsol)

Data for Y2Al9Ir3 after structural relaxation.

abc: 12.937 7.547 9.397
angles: 90.00 90.00 90.00
Space group Cmcm (No. 63)
One atom of each set of equivalent atoms:
Y (0.161, 0.167, 0.250)
Al (0.000, 0.129, 0.750)
Al (0.000, 0.333, 0.051)
Al (0.105, 0.445, 0.750)
Al (0.167, 0.168, 0.575)
Ir (0.000, 0.000, 0.000)
Ir (0.172, 0.500, 0.000)



DFT total energy readings, ordered: -9.653 -9.633 -4.650 -6.581 eV/atom